Entry from the Alexandria database: a relaxed La5PrPb4 crystal (PBE).

Lattice parameters (Å, degrees): 9.0281 9.0281 7.4421 90.25 90.25 36.76
Sites, in units of the cell vectors:
La 0.0000 0.0000 0.0000
La 0.3334 0.3334 0.4891
La 0.3340 0.3340 0.0074
La 0.6660 0.6660 0.9926
La 0.6666 0.6666 0.5109
Pr 0.0000 0.0000 0.5000
Pb 0.1747 0.1747 0.7498
Pb 0.4914 0.4914 0.7468
Pb 0.5086 0.5086 0.2532
Pb 0.8253 0.8253 0.2502

Summary:
Formation energy from the elements (eV/atom): -0.443
Calculated volume (Å³/cell): 363.0
ρ (g/cm³): 7.61
DOS at the Fermi energy (states/eV/cell): 7.122
Symmetry: C2/m, No. 12

=====

Entry from the Alexandria database: a relaxed Hf3Ti2Pb3 crystal (PBE).

Lattice parameters (Å, degrees): 19.2258 4.1400 4.4890 90.00 103.43 90.00
Sites, in units of the cell vectors:
Hf 0.0000 0.0000 0.0000
Hf 0.1280 0.0000 0.6281
Hf 0.3720 0.5000 0.3719
Hf 0.5000 0.5000 0.0000
Hf 0.6280 0.5000 0.6281
Hf 0.8720 0.0000 0.3719
Ti 0.2484 0.5000 0.7482
Ti 0.2516 0.0000 0.2518
Ti 0.7484 0.0000 0.7482
Ti 0.7516 0.5000 0.2518
Pb 0.0000 0.5000 0.5000
Pb 0.1404 0.5000 0.1406
Pb 0.3596 0.0000 0.8594
Pb 0.5000 0.0000 0.5000
Pb 0.6404 0.0000 0.1406
Pb 0.8596 0.5000 0.8594

Summary:
Formation energy from the elements (eV/atom): 0.028
Calculated volume (Å³/cell): 347.5
ρ (g/cm³): 11.97
DOS at the Fermi energy (states/eV/cell): 16.441
Symmetry: C2/m, No. 12

=====

Entry from the Alexandria database: a relaxed Cs2Te2Au crystal (PBE).

Lattice parameters (Å, degrees): 7.6498 7.6498 10.8613 90.00 90.00 90.00
Sites, in units of the cell vectors:
Cs 0.0000 0.5000 0.2500
Cs 0.0000 0.5000 0.7500
Cs 0.5000 0.0000 0.2500
Cs 0.5000 0.0000 0.7500
Te 0.0000 0.0000 0.2367
Te 0.0000 0.0000 0.7633
Te 0.5000 0.5000 0.2633
Te 0.5000 0.5000 0.7367
Au 0.0000 0.0000 0.0000
Au 0.5000 0.5000 0.5000

Summary:
DFT total energy (eV per cell): -28.66
Calculated volume (Å³/cell): 635.6
ρ (g/cm³): 3.75
DOS at the Fermi energy (states/eV/cell): 11.746
Symmetry: I4/mmm, No. 139

=====

Entry from the Alexandria database: a relaxed CaEr4S5 crystal (PBE).

Lattice parameters (Å, degrees): 6.7327 6.7327 6.7327 99.60 99.60 131.80
Sites, in units of the cell vectors:
Ca 0.0000 0.0000 0.0000
Er 0.2004 0.3979 0.5983
Er 0.3979 0.7996 0.1976
Er 0.6021 0.2004 0.8024
Er 0.7996 0.6021 0.4017
S 0.0995 0.6972 0.7968
S 0.3028 0.0995 0.4023
S 0.5000 0.5000 0.0000
S 0.6972 0.9005 0.5977
S 0.9005 0.3028 0.2032

Summary:
DFT total energy (eV per cell): -60.69
Calculated volume (Å³/cell): 207.7
ρ (g/cm³): 6.95
DOS at the Fermi energy (states/eV/cell): 3.726
Symmetry: I4/m, No. 87

=====

Entry from the Alexandria database: a relaxed Ta3Fe crystal (PBE).

Lattice parameters (Å, degrees): 3.2149 4.5351 8.9906 90.00 90.00 90.00
Sites, in units of the cell vectors:
Ta 0.0000 0.0000 0.0000
Ta 0.0000 0.5000 0.2384
Ta 0.0000 0.5000 0.7616
Ta 0.5000 0.0000 0.2616
Ta 0.5000 0.0000 0.7384
Ta 0.5000 0.5000 0.5000
Fe 0.0000 0.0000 0.5000
Fe 0.5000 0.5000 0.0000

Summary:
Formation energy from the elements (eV/atom): -0.016
Calculated volume (Å³/cell): 131.1
ρ (g/cm³): 15.17
DOS at the Fermi energy (states/eV/cell): 6.495
Symmetry: Immm, No. 71

=====

Entry from the Alexandria database: a relaxed RbNaCrN2 crystal (PBE).

Lattice parameters (Å, degrees): 9.3483 9.3483 7.4346 93.01 93.01 20.06
Sites, in units of the cell vectors:
Rb 0.1071 0.1071 0.1179
Rb 0.8929 0.8929 0.8821
Na 0.1560 0.1560 0.5612
Na 0.8440 0.8440 0.4388
Cr 0.4739 0.4739 0.3530
Cr 0.5261 0.5261 0.6470
N 0.0458 0.0458 0.7532
N 0.4306 0.4306 0.5682
N 0.5694 0.5694 0.4318
N 0.9542 0.9542 0.2468

Summary:
DFT total energy (eV per cell): -59.61
Calculated volume (Å³/cell): 222.5
ρ (g/cm³): 2.81
DOS at the Fermi energy (states/eV/cell): 4.516
Symmetry: C2/m, No. 12

=====

Entry from the Alexandria database: a relaxed K2AgBSe4 crystal (PBE).

Lattice parameters (Å, degrees): 7.8570 7.8570 7.0372 90.00 90.00 90.00
Sites, in units of the cell vectors:
K 0.0000 0.5000 0.0000
K 0.0000 0.5000 0.5000
K 0.5000 0.0000 0.0000
K 0.5000 0.0000 0.5000
Ag 0.0000 0.0000 0.0000
Ag 0.5000 0.5000 0.5000
B 0.0000 0.0000 0.5000
B 0.5000 0.5000 0.0000
Se 0.1397 0.1397 0.3030
Se 0.1397 0.8603 0.6970
Se 0.3603 0.3603 0.8030
Se 0.3603 0.6397 0.1970
Se 0.6397 0.3603 0.1970
Se 0.6397 0.6397 0.8030
Se 0.8603 0.1397 0.6970
Se 0.8603 0.8603 0.3030

Summary:
DFT total energy (eV per cell): -58.57
Calculated volume (Å³/cell): 434.4
ρ (g/cm³): 3.92
DOS at the Fermi energy (states/eV/cell): 2.948
Symmetry: I-42m, No. 121

=====

Entry from the Alexandria database: a relaxed CaPm2Hg crystal (PBE).

Lattice parameters (Å, degrees): 3.6417 3.6417 36.0003 90.00 90.00 120.00
Sites, in units of the cell vectors:
Ca 0.0000 0.0000 0.0000
Ca 0.3333 0.6667 0.6667
Ca 0.6667 0.3333 0.3333
Pm 0.0000 0.0000 0.0984
Pm 0.0000 0.0000 0.9016
Pm 0.3333 0.6667 0.5683
Pm 0.3333 0.6667 0.7651
Pm 0.6667 0.3333 0.2349
Pm 0.6667 0.3333 0.4317
Hg 0.0000 0.0000 0.5000
Hg 0.3333 0.6667 0.1667
Hg 0.6667 0.3333 0.8333

Summary:
Polymorph energy (0 for the lowest one) (kJ/mol of formula units): 89.6
Formation energy from the elements (eV/atom): 0.027
Calculated volume (Å³/cell): 413.5
ρ (g/cm³): 6.39
DOS at the Fermi energy (states/eV/cell): 21.175
Symmetry: R-3m, No. 166

=====

Entry from the Alexandria database: a relaxed CaAc4Ge2 crystal (PBE).

Lattice parameters (Å, degrees): 7.3544 7.5235 10.4771 108.21 105.71 97.99
Sites, in units of the cell vectors:
Ca 0.0000 0.0000 0.0000
Ca 0.2223 0.8272 0.4744
Ac 0.3275 0.2211 0.8092
Ac 0.4296 0.4540 0.2526
Ac 0.4479 0.9472 0.2240
Ac 0.4646 0.7075 0.7959
Ac 0.7714 0.1410 0.6955
Ac 0.8612 0.5787 0.1105
Ac 0.8901 0.6202 0.6535
Ac 0.9964 0.2212 0.3715
Ge 0.1647 0.5678 0.9497
Ge 0.4531 0.3041 0.5223
Ge 0.6457 0.1492 0.0542
Ge 0.7904 0.8281 0.4130

Summary:
Formation energy from the elements (eV/atom): -0.345
Calculated volume (Å³/cell): 514.0
ρ (g/cm³): 7.06
DOS at the Fermi energy (states/eV/cell): 15.707
Symmetry: P1, No. 1

=====

Entry from the Alexandria database: a relaxed K2PdBrN crystal (PBE).

Lattice parameters (Å, degrees): 6.2271 6.2271 3.7590 90.00 90.00 90.00
Sites, in units of the cell vectors:
K 0.0000 0.5000 0.0000
K 0.5000 0.0000 0.0000
Pd 0.0000 0.0000 0.0000
Br 0.5000 0.5000 0.5000
N 0.0000 0.0000 0.5000

Summary:
DFT total energy (eV per cell): -19.51
Calculated volume (Å³/cell): 145.8
ρ (g/cm³): 3.17
DOS at the Fermi energy (states/eV/cell): 0.933
Symmetry: P4/mmm, No. 123

=====

Entry from the Alexandria database: a relaxed U2Ga2Ni15 crystal (PBE).

Lattice parameters (Å, degrees): 6.2750 6.2750 6.2750 82.23 82.23 82.23
Sites, in units of the cell vectors:
U 0.1496 0.1496 0.1496
U 0.8504 0.8504 0.8504
Ga 0.3959 0.3959 0.3959
Ga 0.6041 0.6041 0.6041
Ni 0.0000 0.5000 0.5000
Ni 0.1523 0.1523 0.6593
Ni 0.1523 0.6593 0.1523
Ni 0.1912 0.5000 0.8088
Ni 0.1912 0.8088 0.5000
Ni 0.3407 0.8477 0.8477
Ni 0.5000 0.0000 0.5000
Ni 0.5000 0.1912 0.8088
Ni 0.5000 0.5000 0.0000
Ni 0.5000 0.8088 0.1912
Ni 0.6593 0.1523 0.1523
Ni 0.8088 0.1912 0.5000
Ni 0.8088 0.5000 0.1912
Ni 0.8477 0.3407 0.8477
Ni 0.8477 0.8477 0.3407

Summary:
Formation energy from the elements (eV/atom): -0.202
Calculated volume (Å³/cell): 240.8
ρ (g/cm³): 10.31
DOS at the Fermi energy (states/eV/cell): 24.471
Symmetry: R-3m, No. 166

=====

Entry from the Alexandria database: a relaxed Tl3Sb5Te12 crystal (PBE).

Lattice parameters (Å, degrees): 15.9871 15.9871 15.9871 109.47 109.47 109.47
Sites, in units of the cell vectors:
Tl 0.1250 0.2500 0.3750
Tl 0.1250 0.3750 0.7500
Tl 0.2500 0.3750 0.1250
Tl 0.2500 0.8750 0.6250
Tl 0.3750 0.1250 0.2500
Tl 0.3750 0.7500 0.1250
Tl 0.6250 0.2500 0.8750
Tl 0.6250 0.8750 0.7500
Tl 0.7500 0.1250 0.3750
Tl 0.7500 0.6250 0.8750
Tl 0.8750 0.6250 0.2500
Tl 0.8750 0.7500 0.6250
Sb 0.0000 0.0000 0.0000
Sb 0.0000 0.0000 0.5000
Sb 0.0000 0.5000 0.0000
Sb 0.0000 0.5000 0.5000
Sb 0.1250 0.7500 0.8750
Sb 0.1250 0.8750 0.2500
Sb 0.2500 0.1250 0.8750
Sb 0.2500 0.6250 0.3750
Sb 0.3750 0.2500 0.6250
Sb 0.3750 0.6250 0.7500
Sb 0.5000 0.0000 0.0000
Sb 0.5000 0.0000 0.5000
Sb 0.5000 0.5000 0.0000
Sb 0.5000 0.5000 0.5000
Sb 0.6250 0.3750 0.2500
Sb 0.6250 0.7500 0.3750
Sb 0.7500 0.3750 0.6250
Sb 0.7500 0.8750 0.1250
Sb 0.8750 0.1250 0.7500
Sb 0.8750 0.2500 0.1250
Te 0.0351 0.2119 0.1200
Te 0.0351 0.3232 0.9150
Te 0.0850 0.6200 0.4081
Te 0.0850 0.9649 0.6768
Te 0.0919 0.7119 0.6768
Te 0.0919 0.8800 0.4150
Te 0.1200 0.0351 0.2119
Te 0.1200 0.5850 0.9081
Te 0.1768 0.2119 0.5919
Te 0.1768 0.4649 0.5850
Te 0.2119 0.1200 0.0351
Te 0.2119 0.5919 0.1768
Te 0.2881 0.3232 0.9081
Te 0.2881 0.4649 0.3800
Te 0.3232 0.9081 0.2881
Te 0.3232 0.9150 0.0351
Te 0.3800 0.2881 0.4649
Te 0.3800 0.5919 0.9150
Te 0.4081 0.0850 0.6200
Te 0.4081 0.8232 0.7881
Te 0.4150 0.0919 0.8800
Te 0.4150 0.8232 0.5351
Te 0.4649 0.3800 0.2881
Te 0.4649 0.5850 0.1768
Te 0.5351 0.4150 0.8232
Te 0.5351 0.6200 0.7119
Te 0.5850 0.1768 0.4649
Te 0.5850 0.9081 0.1200
Te 0.5919 0.1768 0.2119
Te 0.5919 0.9150 0.3800
Te 0.6200 0.4081 0.0850
Te 0.6200 0.7119 0.5351
Te 0.6768 0.0850 0.9649
Te 0.6768 0.0919 0.7119
Te 0.7119 0.5351 0.6200
Te 0.7119 0.6768 0.0919
Te 0.7881 0.4081 0.8232
Te 0.7881 0.8800 0.9649
Te 0.8232 0.5351 0.4150
Te 0.8232 0.7881 0.4081
Te 0.8800 0.4150 0.0919
Te 0.8800 0.9649 0.7881
Te 0.9081 0.1200 0.5850
Te 0.9081 0.2881 0.3232
Te 0.9150 0.0351 0.3232
Te 0.9150 0.3800 0.5919
Te 0.9649 0.6768 0.0850
Te 0.9649 0.7881 0.8800

Summary:
DFT total energy (eV per cell): -259.60
Calculated volume (Å³/cell): 3145.5
ρ (g/cm³): 5.81
DOS at the Fermi energy (states/eV/cell): 55.494
Symmetry: Ia-3d, No. 230